Record 1
Below is BaAlPb2 after structural relaxation, with properties calculated at the PBE-GGA level.

abc: 6.103 6.103 6.103
angles: 130.60 130.60 72.44
Positions (direct):
Pb1 0.000 0.000 0.000
Pb2 0.250 0.750 0.500
Ba1 0.750 0.250 0.500
Al1 0.500 0.500 0.000

SG: No. 119

---

Record 2
Below is InSb2I after structural relaxation, with properties calculated at the PBE-GGA level.

abc: 5.467 5.467 5.467
angles: 60.00 60.00 60.00
Positions (direct):
I1 0.500 0.500 0.500
Sb1 0.250 0.250 0.250
Sb2 0.750 0.750 0.750
In1 0.000 0.000 0.000

Uncorrected formation energy: 0.304 eV/atom
SG: No. 225

---

no.,uncorrected energy (eV/atom)
1,-3.365
2,-2.829